Record 1
Mg2ZnCo2: relaxed, PBE-GGA.

CIF file:
```
data_Mg2ZnCo2
_chemical_formula_sum 'Mg4 Zn2 Co4'
_space_group_name_H-M_alt 'P 4/m b m'
_space_group_IT_number 127
_space_group_name_Hall '-P 4 2ab'
_cell_length_a 6.110
_cell_length_b 6.110
_cell_length_c 4.033
_cell_angle_alpha 90.00
_cell_angle_beta 90.00
_cell_angle_gamma 90.00
loop_
_atom_site_label
_atom_site_fract_x
_atom_site_fract_y
_atom_site_fract_z
Mg1 0.171 0.329 0.000
Zn1 0.000 0.000 0.500
Co1 0.128 0.628 0.500
```

***

Record 2
Li2Mg2In: relaxed, PBE-GGA.

CIF file:
```
data_Li2Mg2In
_chemical_formula_sum 'Li4 Mg4 In2'
_space_group_name_H-M_alt 'I 4/m m m'
_space_group_IT_number 139
_space_group_name_Hall '-I 4 2'
_cell_length_a 3.833
_cell_length_b 3.833
_cell_length_c 15.593
_cell_angle_alpha 90.00
_cell_angle_beta 90.00
_cell_angle_gamma 90.00
loop_
_atom_site_label
_atom_site_fract_x
_atom_site_fract_y
_atom_site_fract_z
Li1 0.000 0.500 0.250
Mg1 0.000 0.000 0.102
In1 0.000 0.000 0.500
```

## Properties
energy above the most stable polymorph in this dataset: 209 meV per atom

***

Record 3
Pm2In3Hg6Pb: relaxed, PBE-GGA.

CIF file:
```
data_Pm2In3Hg6Pb
_chemical_formula_sum 'Pm2 In3 Hg6 Pb1'
_space_group_name_H-M_alt 'P 4/m m m'
_space_group_IT_number 123
_space_group_name_Hall '-P 4 2'
_cell_length_a 4.518
_cell_length_b 4.518
_cell_length_c 19.992
_cell_angle_alpha 90.00
_cell_angle_beta 90.00
_cell_angle_gamma 90.00
loop_
_atom_site_label
_atom_site_fract_x
_atom_site_fract_y
_atom_site_fract_z
Pm1 0.000 0.000 0.240
In1 0.500 0.500 0.220
In2 0.500 0.500 0.500
Hg1 0.000 0.500 0.115
Hg2 0.500 0.500 0.360
Pb1 0.000 0.000 0.000
```

***

Formation enthalpy at 0 K values (in eV/atom) by entry order: 0.02; 0.04; 0.03.
Magnetic moment values (in μB/cell) by entry order: 1.56; 0.00; 0.00.